No. 1
{"formula": "Ti2TeS2", "functional": "PBE", "state": "optimized geometry", "relative_energy_ev_per_atom": 0.322, "raw_formation_energy_ev_per_atom": -0.79, "lattice_angstrom": [[4.083, 0.000, 0.000], [0.000, 4.083, 0.000], [2.042, 2.042, 5.771]], "species": ["S", "Te", "Ti", "S", "Ti"], "fractional_positions": [[0.250, 0.750, 0.500], [0.000, 0.000, 0.000], [0.369, 0.369, 0.263], [0.750, 0.250, 0.500], [0.631, 0.631, 0.737]]}

---

No. 2
{"formula": "Ti3Te3S", "functional": "PBE", "state": "optimized geometry", "raw_formation_energy_ev_per_atom": -0.87, "lattice_angstrom": [[3.695, 0.000, 0.000], [0.000, 7.760, -0.258], [0.000, 0.199, 10.771]], "species": ["S", "Te", "S", "Ti", "Te", "Ti", "Te", "Ti", "Te", "Te", "Te", "Ti", "Ti", "Ti"], "fractional_positions": [[0.250, 0.883, 0.388], [0.750, 0.619, 0.124], [0.750, 0.117, 0.612], [0.250, 0.313, 0.628], [0.250, 0.867, 0.877], [0.750, 0.687, 0.372], [0.250, 0.381, 0.375], [0.750, 0.126, 0.834], [0.750, 0.619, 0.625], [0.250, 0.381, 0.876], [0.750, 0.133, 0.123], [0.750, 0.087, 0.385], [0.250, 0.874, 0.166], [0.250, 0.913, 0.615]]}

---

No. 3
{"formula": "Ti2TeS2", "functional": "PBE", "state": "optimized geometry", "relative_energy_ev_per_atom": 0.000, "raw_formation_energy_ev_per_atom": -1.11, "lattice_angstrom": [[3.559, 0.000, 0.000], [0.000, 4.800, 0.000], [-1.779, -2.400, 5.968]], "species": ["Ti", "S", "Te", "S", "Ti"], "fractional_positions": [[0.686, 0.186, 0.372], [0.673, 0.673, 0.346], [0.000, 0.000, 0.000], [0.327, 0.327, 0.654], [0.314, 0.814, 0.628]]}

---

No. 4
{"formula": "Tl2TeS2", "functional": "PBE", "state": "optimized geometry", "raw_formation_energy_ev_per_atom": 0.25, "lattice_angstrom": [[-2.219, 1.508, 4.623], [-3.906, -3.579, -0.707], [-0.511, -4.271, 4.238]], "species": ["S", "Te", "Tl", "S", "Tl"], "fractional_positions": [[0.750, 0.250, 0.500], [0.000, 0.000, 0.000], [0.343, 0.343, 0.314], [0.250, 0.750, 0.500], [0.657, 0.657, 0.686]]}

---

We obtain electronic total energy values of -31.12; -86.64; -32.73; -14.88 eV per cell for the records listed above, in that order.